# 1
Here is crystalline LaMoRuBr2 at its relaxed geometry from the Alexandria database. Energies are from PBE.

## Properties
For the energy relative to the elements, uncorrected, the calculation gives 0.661 eV/atom.

abc: 5.311 5.016 5.311
angles: 90.00 90.00 90.00
Fractional positions:
Br: 0.500 0.000 0.000
La: 0.000 0.500 0.000
Ru: 0.000 0.000 0.000
Mo: 0.500 0.500 0.500
Br: 0.000 0.000 0.500



# 2
Here is crystalline LiYNi at its relaxed geometry from the Alexandria database. Energies are from PBE.

## Properties
The calculation puts the relative energy among the computed polymorphs at 114.1 meV/atom. Its formation energy is -0.089 eV per atom.

abc: 4.226 4.226 3.604
angles: 90.00 90.00 120.00
Fractional positions:
Y: 0.333 0.667 0.667
Li: 0.000 0.000 0.166
Ni: 0.667 0.333 0.167



# 3
Here is crystalline LiNd2Mg at its relaxed geometry from the Alexandria database. Energies are from PBE.

## Properties
The calculation puts the relative energy among the computed polymorphs at 0.0 meV/atom. Its formation energy is 0.000 eV per atom.

abc: 3.887 3.887 7.628
angles: 90.00 90.00 90.00
Fractional positions:
Nd: 0.000 0.000 0.750
Mg: 0.500 0.500 0.500
Li: 0.500 0.500 0.000
Nd: 0.000 0.000 0.250



| no. | D(E_F) (states/eV/atom) | uncorrected energy (eV/atom) |
| --- | --- | --- |
| 1 | 0.7835 | -5.02 |
| 2 | 0.6444 | -4.81 |
| 3 | 1.0275 | -3.26 |